--- one ---
A relaxed K4Ru crystal, computed with PBE.

Lattice parameters (Å, degrees): 7.9879 7.9879 7.9879 90.00 90.00 90.00
Space group Im-3m (No. 229)
One atom of each set of equivalent atoms:
K: 0.2500 0.2500 0.2500
Ru: 0.0000 0.0000 0.0000

Values from the calculation:
M_tot: 1.751 μB per formula unit
calculated volume: 254.8 Å³/f.u.

---

--- two ---
A relaxed K4Ru crystal, computed with PBE.

Lattice parameters (Å, degrees): 6.4873 6.4873 6.4873 90.00 90.00 90.00
Space group Pm-3m (No. 221)
One atom of each set of equivalent atoms:
K: 0.0000 0.0000 0.0000
K: 0.0000 0.5000 0.5000
Ru: 0.5000 0.5000 0.5000

Values from the calculation:
M_tot: 1.937 μB per formula unit
calculated volume: 273.0 Å³/f.u.

---

Stability, highest: two

---

--- one ---
A relaxed KRuS3 crystal, computed with PBE.

Lattice parameters (Å, degrees): 5.3698 5.3698 5.3698 90.00 90.00 90.00
Space group Pm-3m (No. 221)
One atom of each set of equivalent atoms:
K: 0.0000 0.0000 0.0000
Ru: 0.5000 0.5000 0.5000
S: 0.0000 0.0000 0.5000

Values from the calculation:
M_tot: 7.000 μB per formula unit
calculated volume: 154.8 Å³/f.u.

---

--- two ---
A relaxed KRuS3 crystal, computed with PBE.

Lattice parameters (Å, degrees): 4.7717 4.7717 4.7717 90.00 90.00 90.00
Space group Pm-3m (No. 221)
One atom of each set of equivalent atoms:
K: 0.0000 0.0000 0.0000
Ru: 0.5000 0.5000 0.5000
S: 0.0000 0.5000 0.5000

Values from the calculation:
M_tot: 3.430 μB per formula unit
calculated volume: 108.6 Å³/f.u.

---

Stability, highest: two